1.
## Sr3P2Au4 (PBE-GGA)

Data for an optimized crystal structure of Sr3P2Au4.

Values from the calculation:
The calculated total energy comes out at -4.0504 eV/atom. The calculation puts the volume at 220.24 Å³/f.u. As for the space-group type: C2/m.

Lattice parameters (Å, degrees): 6.155 6.155 8.938 104.47 104.47 42.46
Element x y z (fractional)
1 Sr 0.000 0.000 0.000
2 Sr 0.335 0.335 0.341
3 Sr 0.665 0.665 0.659
4 P 0.393 0.393 0.718
5 P 0.607 0.607 0.282
6 Au 0.057 0.057 0.376
7 Au 0.283 0.283 0.927
8 Au 0.717 0.717 0.073
9 Au 0.943 0.943 0.624


2.
## SrP2Au (PBE-GGA)

Data for an optimized crystal structure of SrP2Au.

Values from the calculation:
The calculation puts the polymorph energy (0 for the lowest one) at 399 meV/atom. The calculation puts the volume at 85.06 Å³/f.u. As for the space-group type: P4mm.

Lattice parameters (Å, degrees): 3.497 3.497 6.953 90.00 90.00 90.00
Element x y z (fractional)
1 Sr 0.000 0.000 0.000
2 P 0.000 0.000 0.562
3 P 0.500 0.500 0.656
4 Au 0.500 0.500 0.277


3.
## SrP2Au (PBE-GGA)

Data for an optimized crystal structure of SrP2Au.

Values from the calculation:
The calculation puts the polymorph energy (0 for the lowest one) at 92 meV/atom. The calculation puts the volume at 106.15 Å³/f.u. As for the space-group type: C2/m.

Lattice parameters (Å, degrees): 5.675 5.675 5.388 115.23 115.23 43.53
Element x y z (fractional)
1 Sr 0.000 0.000 0.000
2 P 0.298 0.298 0.592
3 P 0.702 0.702 0.408
4 Au 0.500 0.500 0.500


4.
## Sr2PAu3 (PBE-GGA)

Data for an optimized crystal structure of Sr2PAu3.

Values from the calculation:
The calculation puts the polymorph energy (0 for the lowest one) at 0 meV/atom. The calculation puts the volume at 150.20 Å³/f.u. As for the space-group type: Fmmm.

Lattice parameters (Å, degrees): 9.205 8.970 6.156 72.27 68.16 39.57
Element x y z (fractional)
1 Sr 0.236 0.764 0.764
2 Sr 0.250 0.250 0.250
3 Sr 0.750 0.750 0.750
4 Sr 0.764 0.236 0.236
5 P 0.334 0.334 0.666
6 P 0.666 0.666 0.334
7 Au 0.175 0.175 0.825
8 Au 0.178 0.647 0.353
9 Au 0.353 0.822 0.178
10 Au 0.647 0.178 0.822
11 Au 0.822 0.353 0.647
12 Au 0.825 0.825 0.175


5.
## SrP2Au (PBE-GGA)

Data for an optimized crystal structure of SrP2Au.

Values from the calculation:
The calculation puts the polymorph energy (0 for the lowest one) at 154 meV/atom. The calculation puts the volume at 96.61 Å³/f.u. As for the space-group type: I-42d.

Lattice parameters (Å, degrees): 9.294 9.294 9.294 150.58 150.58 42.09
Element x y z (fractional)
1 Sr 0.000 0.000 0.000
2 Sr 0.750 0.250 0.500
3 P 0.280 0.625 0.155
4 P 0.375 0.530 0.655
5 P 0.470 0.125 0.845
6 P 0.875 0.720 0.345
7 Au 0.250 0.750 0.500
8 Au 0.500 0.500 0.000


6.
## Sr4PAu (PBE-GGA)

Data for an optimized crystal structure of Sr4PAu.

Values from the calculation:
The calculation puts the polymorph energy (0 for the lowest one) at 1107 meV/atom. The calculation puts the volume at 219.76 Å³/f.u. As for the space-group type: F-43m.

Lattice parameters (Å, degrees): 6.774 6.774 6.774 60.00 60.00 60.00
Element x y z (fractional)
1 Sr 0.376 0.376 0.376
2 Sr 0.376 0.376 0.873
3 Sr 0.376 0.873 0.376
4 Sr 0.873 0.376 0.376
5 P 0.750 0.750 0.750
6 Au 0.000 0.000 0.000